[1]
Below is a relaxed TaCoH crystal, with properties calculated at the PBE level.

Values from the calculation:
DOS(E_F) ... 3.96 states/eV per cell
E above lowest polymorph ... 0.002 eV/atom

a b c (Å): 3.5685 4.1441 4.1441
angles (deg): 90.00 90.00 90.00
Site moments in Bohr magnetons follow the coordinates.
Fractional positions:
Ta  0.3720  0.8431  0.4845  0.06
Co  0.8717  0.3431  0.4845  0.80
H  0.3724  0.8431  0.9844  0.00
Ta  0.3720  0.3431  0.9845  0.06
Co  0.8723  0.8432  0.9845  0.80
H  0.3713  0.3431  0.4844  0.00

***

[2]
Below is a relaxed LiCo4 crystal, with properties calculated at the PBE level.

Values from the calculation:
DOS(E_F) ... 4.62 states/eV per cell
E above lowest polymorph ... 0.230 eV/atom

a b c (Å): 5.6418 5.6418 5.6418
angles (deg): 142.29 142.29 54.39
Site moments in Bohr magnetons follow the coordinates.
Fractional positions:
Co  0.2500  0.7500  0.5000  1.73
Co  0.3898  0.3898  0.0000  1.68
Co  0.6102  0.6102  0.0000  1.68
Li  0.0000  0.0000  0.0000  -0.03
Co  0.7500  0.2500  0.5000  1.73

***

[3]
Below is a relaxed FeCu3 crystal, with properties calculated at the PBE level.

Values from the calculation:
DOS(E_F) ... 2.33 states/eV per cell
Electronic total energy ... -20.3 eV/f.u.

a b c (Å): 2.5177 3.6542 5.1956
angles (deg): 90.00 90.00 90.00
Site moments in Bohr magnetons follow the coordinates.
Fractional positions:
Cu  0.5000  0.5000  0.7500  0.02
Cu  0.0000  0.0000  0.4995  0.07
Cu  0.0000  0.0000  0.0005  0.07
Fe  0.5000  0.5000  0.2500  2.63

***

[4]
Below is a relaxed Ti3GaW crystal, with properties calculated at the PBE level.

Values from the calculation:
DOS(E_F) ... 20.97 states/eV per cell
E above lowest polymorph ... 0.166 eV/atom

a b c (Å): 4.5923 4.5923 4.5923
angles (deg): 90.00 90.00 90.00
Fractional positions:
Ti  0.0000  0.5000  0.0000
Ga  0.0000  0.0000  0.0000
Ti  0.0000  0.0000  0.5000
W  0.5000  0.5000  0.5000
Ti  0.5000  0.0000  0.0000

***

[5]
Below is a relaxed Tb4Gd2C crystal, with properties calculated at the PBE level.

Values from the calculation:
DOS(E_F) ... 14.93 states/eV per cell
Electronic total energy ... -54.9 eV/f.u.

a b c (Å): 4.9042 4.9042 9.4687
angles (deg): 74.99 74.99 90.00
Site moments in Bohr magnetons follow the coordinates.
Fractional positions:
Gd  0.3278  0.3278  0.3443  7.24
Tb  0.0000  0.5000  0.0000  0.09
Tb  0.8648  0.8648  0.2705  0.20
Gd  0.6722  0.6722  0.6557  7.24
C  0.0000  0.0000  0.0000  0.02
Tb  0.5000  0.0000  0.0000  0.09
Tb  0.1352  0.1352  0.7295  0.20

***

[6]
Below is a relaxed AsPbIO2 crystal, with properties calculated at the PBE level.

Values from the calculation:
DOS(E_F) ... 1.85 states/eV per cell
Formation energy (no corrections) ... 0.168 eV per atom

a b c (Å): 4.2617 4.2617 6.4927
angles (deg): 90.00 90.00 90.00
Site moments in Bohr magnetons follow the coordinates.
Fractional positions:
Pb  0.0000  0.0000  0.0000  -0.01
O  0.0000  0.5000  0.0000  0.14
As  0.5000  0.5000  0.5000  0.48
I  0.0000  0.0000  0.5000  0.01
O  0.5000  0.0000  0.0000  0.14

***

[7]
Below is a relaxed CaNd8In6 crystal, with properties calculated at the PBE level.

Values from the calculation:
DOS(E_F) ... 21.85 states/eV per cell
Electronic total energy ... -60.3 eV/f.u.

a b c (Å): 9.3179 9.3179 8.5294
angles (deg): 56.89 56.89 60.00
Fractional positions:
Nd  0.7841  0.1150  0.6574
In  0.6118  0.9468  0.1643
Nd  0.8850  0.5565  0.3426
In  0.2771  0.6118  0.1643
In  0.0532  0.7229  0.8357
Nd  0.2159  0.8850  0.3426
Nd  0.4435  0.7841  0.6574
Nd  0.6644  0.6644  0.0069
Ca  0.0000  0.0000  0.0000
Nd  0.3356  0.3356  0.9931
Nd  0.1150  0.4435  0.6574
Nd  0.5565  0.2159  0.3426
In  0.3882  0.0532  0.8357
In  0.7229  0.3882  0.8357
In  0.9468  0.2771  0.1643

***

[8]
Below is a relaxed K8Rb3Na crystal, with properties calculated at the PBE level.

Values from the calculation:
DOS(E_F) ... 7.84 states/eV per cell
Electronic total energy ... -12.8 eV/f.u.

a b c (Å): 8.1513 8.1513 15.2961
angles (deg): 90.00 90.00 120.00
Fractional positions:
K  0.6764  0.6766  0.2632
K  0.6667  0.3333  0.4999
Rb  0.0000  0.0000  0.0000
K  0.9998  0.6764  0.7368
Na  0.0000  0.0000  0.5000
K  0.3236  0.3234  0.7368
K  0.0002  0.3236  0.2632
K  0.3234  0.9998  0.2632
K  0.3333  0.6667  0.5001
Rb  0.6667  0.3333  0.0002
K  0.6766  0.0002  0.7368
Rb  0.3333  0.6667  0.9998

***

[9]
Below is a relaxed TbPmSbI crystal, with properties calculated at the PBE level.

Values from the calculation:
DOS(E_F) ... 4.34 states/eV per cell
Formation energy (no corrections) ... -0.891 eV per atom

a b c (Å): 5.4386 5.4386 5.4386
angles (deg): 60.00 60.00 60.00
Fractional positions:
Sb  0.0000  0.0000  0.0000
Pm  0.7500  0.7500  0.7500
Tb  0.2500  0.2500  0.2500
I  0.5000  0.5000  0.5000

***

[10]
Below is a relaxed Pa2InPbO8 crystal, with properties calculated at the PBE level.

Values from the calculation:
DOS(E_F) ... 3.05 states/eV per cell
Formation energy (no corrections) ... -2.576 eV per atom

a b c (Å): 5.1042 5.1052 7.1530
angles (deg): 90.00 90.00 89.18
Fractional positions:
Pa  0.5000  0.5000  0.7542
O  0.6851  0.6853  0.0000
In  0.0000  0.0000  0.0000
O  0.7987  0.2015  0.2334
O  0.2013  0.7985  0.2334
O  0.3149  0.3147  0.0000
O  0.3230  0.3227  0.5000
Pb  0.0000  0.0000  0.5000
O  0.7987  0.2015  0.7666
O  0.6770  0.6773  0.5000
Pa  0.5000  0.5000  0.2458
O  0.2013  0.7985  0.7666

***

[11]
Below is a relaxed CeHo2Er3 crystal, with properties calculated at the PBE level.

Values from the calculation:
DOS(E_F) ... 24.98 states/eV per cell
Electronic total energy ... -27.9 eV/f.u.

a b c (Å): 3.4116 9.0385 12.6295
angles (deg): 78.24 82.24 79.12
Site moments in Bohr magnetons follow the coordinates.
Fractional positions:
Er  0.7408  0.8107  0.7077  -0.01
Er  0.2592  0.1893  0.2923  -0.01
Er  0.0408  0.1286  0.7898  0.00
Ho  0.6574  0.1497  0.5355  -0.01
Er  0.4002  0.1719  0.0277  0.01
Ce  0.5484  0.5161  0.3872  -0.53
Ho  0.8213  0.4761  0.8814  -0.02
Er  0.5998  0.8281  0.9723  0.01
Ho  0.1787  0.5239  0.1186  -0.02
Ho  0.3426  0.8503  0.4645  -0.01
Ce  0.4516  0.4839  0.6128  -0.53
Er  0.9592  0.8714  0.2102  0.00

***

[12]
Below is a relaxed K4MnCo crystal, with properties calculated at the PBE level.

Values from the calculation:
DOS(E_F) ... 5.95 states/eV per cell
Electronic total energy ... -13.7 eV/f.u.

a b c (Å): 7.3145 7.3145 7.3145
angles (deg): 60.00 60.00 60.00
Site moments in Bohr magnetons follow the coordinates.
Fractional positions:
Co  0.0000  0.0000  0.0000  2.09
K  0.3745  0.3745  0.8766  -0.01
K  0.3745  0.3745  0.3745  -0.01
K  0.8766  0.3745  0.3745  -0.01
K  0.3745  0.8766  0.3745  -0.01
Mn  0.7500  0.7500  0.7500  4.37